# ZrInCoC2

An optimized crystal structure of ZrInCoC2 (GGA-PBE, Alexandria).

Summary:
The calculation puts the formation energy at 1345 meV per atom. Its space group is P4/mmm, No. 123. The value obtained for the size of the total moment is 0.00 μB/f.u.

Unit cell a=3.9224 b=4.8982 c=3.9224 alpha=90.00 beta=90.00 gamma=90.00
Element x y z (fractional)
C1 0.5000 0.0000 0.0000
C2 0.0000 0.0000 0.5000
In1 0.5000 0.5000 0.5000
Co1 0.0000 0.0000 0.0000
Zr1 0.0000 0.5000 0.0000